No. 1
# U4P2Se3

Crystalline U4P2Se3 at its relaxed geometry (GGA-PBE, the Alexandria database).

As for the crystal system: monoclinic. The calculation puts the uncorrected formation energy at -756 meV per atom. As for the density of states at the Fermi level: 1.640 states/eV/atom.

The structure belongs to space group C2/m (No. 12); the cell edges are 12.053, 3.683 and 10.213 Å and the angles 90.00°, 106.09° and 90.00°. The asymmetric unit holds U at (0.084, 0.000, 0.102), U at (0.187, 0.500, 0.528), P at (0.216, 0.500, 0.270), Se at (0.000, 0.000, 0.500) and Se at (0.100, 0.500, 0.891).


No. 2
# BaTlN2

Crystalline BaTlN2 at its relaxed geometry (GGA-PBE, the Alexandria database).

As for the crystal system: trigonal. The calculation puts the uncorrected formation energy at 511 meV per atom. For the energy above the lowest structure with this stoichiometry, the calculation gives 11.9 meV per atom. As for the density of states at the Fermi level: 0.651 states/eV/atom.

The structure belongs to space group R-3m (No. 166, hexagonal axes); the cell edges are 4.2980, 4.2980 and 20.0758 Å and the angles 90.00°, 90.00° and 120.00°. The asymmetric unit holds Ba at (0.0000, 0.0000, 0.0000), Tl at (0.0000, 0.0000, 0.5000) and N at (0.0000, 0.0000, 0.4003).


No. 3
# TbPr3Hg6

Crystalline TbPr3Hg6 at its relaxed geometry (GGA-PBE, the Alexandria database).

As for the crystal system: monoclinic. Its formation energy is -0.432 eV per atom. As for the density of states at the Fermi level: 0.847 states/eV/atom.

The structure belongs to space group P2_1/m (No. 11); the cell edges are 9.525, 5.238 and 11.347 Å and the angles 90.00°, 106.37° and 90.00°. The asymmetric unit holds Tb at (0.059, 0.250, 0.395), Pr at (0.225, 0.250, 0.010), Pr at (0.353, 0.750, 0.787), Pr at (0.490, 0.250, 0.615), Hg at (0.060, 0.750, 0.886), Hg at (0.141, 0.750, 0.190), Hg at (0.148, 0.250, 0.688), Hg at (0.231, 0.750, 0.497), Hg at (0.332, 0.250, 0.301) and Hg at (0.464, 0.750, 0.085).


No. 4
# TaFeSe

Crystalline TaFeSe at its relaxed geometry (GGA-PBE, the Alexandria database).

As for the crystal system: cubic. The calculation puts the uncorrected formation energy at 47 meV per atom. For the energy above the lowest structure with this stoichiometry, the calculation gives 270.7 meV per atom. As for the density of states at the Fermi level: 1.381 states/eV/atom.

The structure belongs to space group F-43m (No. 216); the cell edges are 5.791, 5.791 and 5.791 Å and the angles 90.00°, 90.00° and 90.00°. The asymmetric unit holds Ta at (0.000, 0.000, 0.000), Fe at (0.250, 0.250, 0.750) and Se at (0.000, 0.000, 0.500).


No. 5
# Rb2NaSrAs

Crystalline Rb2NaSrAs at its relaxed geometry (GGA-PBE, the Alexandria database).

As for the crystal system: tetragonal. Its formation energy is 0.142 eV per atom. As for the density of states at the Fermi level: 0.399 states/eV/atom.

The structure belongs to space group P4/mmm (No. 123); the cell edges are 7.699, 7.699 and 5.677 Å and the angles 90.00°, 90.00° and 90.00°. The asymmetric unit holds Rb at (0.000, 0.500, 0.000), Na at (0.000, 0.000, 0.500), Sr at (0.500, 0.500, 0.000) and As at (0.500, 0.500, 0.500).


No. 6
# LiAc2Cu3Si4

Crystalline LiAc2Cu3Si4 at its relaxed geometry (GGA-PBE, the Alexandria database).

As for the crystal system: tetragonal. The calculation puts the uncorrected formation energy at -435 meV per atom. As for the density of states at the Fermi level: 0.387 states/eV/atom.

The structure belongs to space group P-4m2 (No. 115); the cell edges are 4.297, 4.297 and 10.136 Å and the angles 90.00°, 90.00° and 90.00°. The asymmetric unit holds Li at (0.000, 0.000, 0.000), Ac at (0.000, 0.500, 0.750), Cu at (0.000, 0.500, 0.380), Cu at (0.500, 0.500, 0.000), Si at (0.000, 0.000, 0.500), Si at (0.000, 0.500, 0.132) and Si at (0.500, 0.500, 0.500).


We obtain electronic total energy values of -146.468 -56.687 -50.203 -94.641 -8.874 -48.465 eV per cell for the records listed above, in that order.